Here is a geometry-optimized ScCd structure from Alexandria. Energies are from GGA-PBE.

Cell lengths 5.753, 5.753, 5.926 Å; angles 90.00, 90.00, 90.00 degrees
Fractional coordinates of all 8 atoms:
Sc 0.304 0.696 0.000
Sc 0.804 0.804 0.500
Sc 0.196 0.196 0.500
Sc 0.696 0.304 0.000
Cd 0.189 0.189 0.000
Cd 0.689 0.311 0.500
Cd 0.311 0.689 0.500
Cd 0.811 0.811 0.000

Output
- Calculated total energy: -3.561 eV per atom
- Calculated volume: 196.16 Å³ per cell
- SG: P4_2/mnm, No. 136
- M_tot: 0.00 μB/f.u.